(1)
5
Lattice="4.077 0.000 0.000 0.000 4.077 0.000 0.000 0.000 4.392" Properties=species:S:1:pos:R:3 comment="LiMn2ReI GGA-PBE relaxed" vol_a3_per_cell=73.0 magmom_total_mub_per_cell=0.5 pbc="T T T"
Li 0.000 0.000 0.000
Mn 0.000 2.038 0.000
Mn 2.038 0.000 0.000
Re 0.000 0.000 2.196
I 2.038 2.038 2.196

(2)
5
Lattice="4.605 0.000 0.000 0.000 4.605 0.000 0.000 0.000 4.423" Properties=species:S:1:pos:R:3 comment="LiMn2ReI GGA-PBE relaxed" vol_a3_per_cell=93.8 magmom_total_mub_per_cell=3.5 pbc="T T T"
Li 0.000 0.000 0.000
Mn 0.000 2.303 2.211
Mn 2.303 0.000 2.211
Re 2.303 2.303 0.000
I 0.000 0.000 2.211

Q: Which of them is the least stable? A: (2).

(1)
5
Lattice="5.359 0.000 0.000 0.000 5.359 0.000 0.000 0.000 5.368" Properties=species:S:1:pos:R:3 comment="LiMnTeI2 GGA-PBE relaxed" vol_a3_per_cell=154.2 magmom_total_mub_per_cell=4.9 pbc="T T T"
Li 0.000 0.000 0.000
Mn 2.680 2.680 2.684
Te 0.000 0.000 2.684
I 0.000 2.680 0.000
I 2.680 0.000 0.000

(2)
5
Lattice="5.802 0.000 0.000 0.000 5.802 0.000 0.000 0.000 5.224" Properties=species:S:1:pos:R:3 comment="LiMnTeI2 GGA-PBE relaxed" vol_a3_per_cell=175.8 magmom_total_mub_per_cell=4.1 pbc="T T T"
Li 0.000 0.000 0.000
Mn 2.901 2.901 2.612
Te 2.901 2.901 0.000
I 0.000 2.901 2.612
I 2.901 0.000 2.612

Q: Which of them is the least stable? A: (1).